# YZn4Cu

A geometry-optimized YZn4Cu structure (PBE, the Alexandria database).

a b c (Å): 7.414 7.414 7.414
angles (deg): 90.00 90.00 90.00
Space group F-43m (No. 216)
Inequivalent atoms, fractional coordinates:
Y 0.000 0.000 0.000 (multiplicity 4)
Zn 0.125 0.125 0.625 (multiplicity 16)
Cu 0.250 0.250 0.250 (multiplicity 4)

Calculated values
DOS(E_F): 13.95 states/eV/cell
Magnetization: 0.00 μB/cell
Offset from the most stable computed form: 135 meV per atom
Energy of formation from the pure elements: -0.12 eV/atom


# KMo2Au

A geometry-optimized KMo2Au structure (PBE, the Alexandria database).

a b c (Å): 3.307 4.307 10.974
angles (deg): 90.00 90.00 90.00
Space group Cmmm (No. 65)
Inequivalent atoms, fractional coordinates:
K 0.000 0.000 0.000 (multiplicity 2)
Mo 0.000 0.500 0.286 (multiplicity 4)
Au 0.000 0.000 0.500 (multiplicity 2)

Calculated values
DOS(E_F): 9.72 states/eV/cell
Magnetization: 0.00 μB/cell
Offset from the most stable computed form: 419 meV per atom
Energy of formation from the pure elements: 0.93 eV/atom


# CeZnTc2

A geometry-optimized CeZnTc2 structure (PBE, the Alexandria database).

a b c (Å): 4.402 4.402 3.518
angles (deg): 90.00 90.00 90.00
Space group P4/mmm (No. 123)
Inequivalent atoms, fractional coordinates:
Ce 0.000 0.000 0.000 (multiplicity 1)
Zn 0.500 0.500 0.000 (multiplicity 1)
Tc 0.000 0.500 0.500 (multiplicity 2)

Calculated values
DOS(E_F): 6.31 states/eV/cell
Magnetization: 0.00 μB/cell
Energy of formation from the pure elements: 0.10 eV/atom


# Y2Zr2V

A geometry-optimized Y2Zr2V structure (PBE, the Alexandria database).

a b c (Å): 6.956 6.956 5.246
angles (deg): 90.00 90.00 90.00
Space group P4/mbm (No. 127)
Inequivalent atoms, fractional coordinates:
Y 0.170 0.330 0.000 (multiplicity 4)
Zr 0.147 0.647 0.500 (multiplicity 4)
V 0.000 0.000 0.500 (multiplicity 2)

Calculated values
DOS(E_F): 13.04 states/eV/cell
Magnetization: 5.07 μB/cell
Energy of formation from the pure elements: 0.34 eV/atom


# K2MgH6Ru

A geometry-optimized K2MgH6Ru structure (PBE, the Alexandria database).

a b c (Å): 5.8642 5.8642 4.9691
angles (deg): 90.00 90.00 120.00
Space group P-3m1 (No. 164)
Inequivalent atoms, fractional coordinates:
K 0.3333 0.6667 0.3113 (multiplicity 2)
Mg 0.0000 0.0000 0.0000 (multiplicity 1)
H 0.1403 0.2805 0.7001 (multiplicity 6)
Ru 0.0000 0.0000 0.5000 (multiplicity 1)

Calculated values
DOS(E_F): 0.00 states/eV/cell
Magnetization: 0.11 μB/cell
Final energy: -3.66 eV per atom


# PmHoInIr

A geometry-optimized PmHoInIr structure (PBE, the Alexandria database).

a b c (Å): 7.258 7.258 7.258
angles (deg): 90.00 90.00 90.00
Space group F-43m (No. 216)
Inequivalent atoms, fractional coordinates:
Pm 0.000 0.000 0.000 (multiplicity 4)
Ho 0.000 0.000 0.500 (multiplicity 4)
In 0.250 0.250 0.250 (multiplicity 4)
Ir 0.250 0.250 0.750 (multiplicity 4)

Calculated values
DOS(E_F): 13.01 states/eV/cell
Magnetization: 0.00 μB/cell
Energy of formation from the pure elements: -0.49 eV/atom


# HfRu3W

A geometry-optimized HfRu3W structure (PBE, the Alexandria database).

a b c (Å): 4.633 4.633 4.633
angles (deg): 90.00 90.00 90.00
Space group Pm-3m (No. 221)
Inequivalent atoms, fractional coordinates:
Hf 0.000 0.000 0.000 (multiplicity 1)
Ru 0.000 0.500 0.500 (multiplicity 3)
W 0.500 0.500 0.500 (multiplicity 1)

Calculated values
DOS(E_F): 2.04 states/eV/cell
Magnetization: 0.00 μB/cell
Offset from the most stable computed form: 0 meV per atom
Energy of formation from the pure elements: 1.07 eV/atom


# TlBiSbAu

A geometry-optimized TlBiSbAu structure (PBE, the Alexandria database).

a b c (Å): 4.2444 4.2444 23.9566
angles (deg): 90.00 90.00 120.00
Space group R3m (No. 160, hexagonal axes)
Inequivalent atoms, fractional coordinates:
Tl 0.0000 0.0000 0.0000 (multiplicity 3)
Bi 0.0000 0.0000 0.5531 (multiplicity 3)
Sb 0.0000 0.0000 0.4263 (multiplicity 3)
Au 0.0000 0.0000 0.1517 (multiplicity 3)

Calculated values
DOS(E_F): 4.22 states/eV/cell
E_form (uncorrected): 0.74 kcal/mol of atoms
Magnetization: 0.00 μB/cell


Please write out number 3 again, unchanged.
# CeZnTc2

A geometry-optimized CeZnTc2 structure (PBE, the Alexandria database).

a b c (Å): 4.402 4.402 3.518
angles (deg): 90.00 90.00 90.00
Space group P4/mmm (No. 123)
Inequivalent atoms, fractional coordinates:
Ce 0.000 0.000 0.000 (multiplicity 1)
Zn 0.500 0.500 0.000 (multiplicity 1)
Tc 0.000 0.500 0.500 (multiplicity 2)

Calculated values
DOS(E_F): 6.31 states/eV/cell
Magnetization: 0.00 μB/cell
Energy of formation from the pure elements: 0.10 eV/atom


Copy entry 3 word for word.
# CeZnTc2

A geometry-optimized CeZnTc2 structure (PBE, the Alexandria database).

a b c (Å): 4.402 4.402 3.518
angles (deg): 90.00 90.00 90.00
Space group P4/mmm (No. 123)
Inequivalent atoms, fractional coordinates:
Ce 0.000 0.000 0.000 (multiplicity 1)
Zn 0.500 0.500 0.000 (multiplicity 1)
Tc 0.000 0.500 0.500 (multiplicity 2)

Calculated values
DOS(E_F): 6.31 states/eV/cell
Magnetization: 0.00 μB/cell
Energy of formation from the pure elements: 0.10 eV/atom